# 1
LaHf2Mg2 (GGA-PBE, relaxed); crystal system = tetragonal; ΔE to the lowest computed polymorph = 0 meV/atom
1.0
-8.336 -2.913 0.177
1.570 -4.928 -7.159
0.891 -2.434 1.871
Mg Hf La
4 4 2
Cartesian
0.057 -5.042 -3.855
-3.871 -7.253 -4.862
-5.931 -5.234 -1.255
-2.004 -3.023 -0.249
-1.783 -5.441 -6.229
-6.357 -5.620 -4.286
-4.983 -2.401 -0.752
-0.408 -2.221 -2.696
0.000 0.000 0.000
-3.383 -3.921 -3.491

# 2
LaHf2Mg2 (GGA-PBE, relaxed); crystal system = tetragonal; ΔE to the lowest computed polymorph = 56 meV/atom
1.0
8.786 0.000 0.000
0.000 8.786 0.000
0.000 0.000 3.225
Mg Hf La
4 4 2
Cartesian
3.346 7.739 0.000
7.739 5.440 0.000
5.440 1.047 0.000
1.047 3.346 0.000
1.545 5.938 1.612
5.938 7.241 1.612
7.241 2.848 1.612
2.848 1.545 1.612
0.000 0.000 0.000
4.393 4.393 0.000

# 3
LaHfMg (GGA-PBE, relaxed); crystal system = tetragonal
1.0
-0.927 -2.542 -2.001
2.096 -2.058 1.643
-5.799 0.621 4.727
Mg Hf La
1 1 1
Cartesian
-0.149 -0.048 0.130
-1.062 -2.830 1.257
-3.419 -1.101 2.982

# 4
LaHfMg3 (GGA-PBE, relaxed); crystal system = cubic; ΔE to the lowest computed polymorph = 806 meV/atom
1.0
5.440 0.000 0.000
0.000 5.440 0.000
0.000 0.000 5.440
Mg Hf La
3 1 1
Cartesian
0.000 2.720 0.000
0.000 0.000 2.720
2.720 0.000 0.000
2.720 2.720 2.720
0.000 0.000 0.000

no.,magnetic moment (μB per formula unit),calculated total energy (eV/atom),formation enthalpy at 0 K (eV per atom)
1,0.000,-5.38,0.229
2,0.000,-5.32,0.284
3,0.000,-5.37,0.119
4,0.001,-2.38,1.553